A relaxed structure of ZnCr2W. Source: Alexandria, functional PBE.

Properties
density of states at the Fermi level	0.57	states/eV/atom
energy of formation from the pure elements	0.20	eV/atom
raw total energy	-0.3002	Ha/atom

Lattice parameters (Å, degrees): 2.6089 2.6089 8.4320 90.00 90.00 108.89
Closest atoms and distances in Å follow each position.
Element x y z (fractional)
1 Cr 0.0000 0.0000 0.0142  6 Cr 2.40-2.61, 2 Zn 2.61
2 Cr 0.5000 0.5000 0.2347  6 Cr 2.40-2.61, 2 W 2.62
3 W 0.0000 0.0000 0.4882  4 W 2.61, 2 Cr 2.62, 2 Zn 2.77
4 Zn 0.5000 0.5000 0.7629  2 Cr 2.61, 4 Zn 2.61, 2 W 2.77

A relaxed structure of ZnCr2W. Source: Alexandria, functional PBE.

Properties
density of states at the Fermi level	0.65	states/eV/atom
energy of formation from the pure elements	0.34	eV/atom
raw total energy	-0.2951	Ha/atom

Lattice parameters (Å, degrees): 4.7702 4.7702 4.7702 134.89 134.89 65.71
Closest atoms and distances in Å follow each position.
Element x y z (fractional)
1 Cr 0.0000 0.0000 0.0000  4 W 2.59, 4 Zn 2.71, 4 Cr 2.71
2 Cr 0.2500 0.7500 0.5000  4 Zn 2.59, 4 Cr 2.71, 4 W 2.71
3 W 0.5000 0.5000 0.0000  8 Cr 2.59-2.71, 4 Zn 2.71
4 Zn 0.7500 0.2500 0.5000  8 Cr 2.59-2.71, 4 W 2.71

A relaxed structure of ZrCr2W. Source: Alexandria, functional PBE.

Properties
density of states at the Fermi level	1.13	states/eV/atom
energy of formation from the pure elements	0.13	eV/atom
relative energy among the computed polymorphs	0.00	kJ per mole of atoms
raw total energy	-0.3696	Ha/atom

Lattice parameters (Å, degrees): 3.0966 3.0972 6.3670 90.00 90.00 90.00
Closest atoms and distances in Å follow each position.
Element x y z (fractional)
1 Cr 0.0000 0.0000 0.0211  4 W 2.63, 4 Zr 2.79, 1 Cr 2.91
2 Cr 0.0000 0.0000 0.4789  4 W 2.63, 4 Zr 2.79, 1 Cr 2.91
3 W 0.5000 0.5000 0.2500  8 Cr 2.63
4 Zr 0.5000 0.5000 0.7500  8 Cr 2.79, 4 Zr 3.10

A relaxed structure of ZrCr2W. Source: Alexandria, functional PBE.

Properties
density of states at the Fermi level	1.10	states/eV/atom
energy of formation from the pure elements	0.42	eV/atom
relative energy among the computed polymorphs	27.73	kJ per mole of atoms
raw total energy	-0.3590	Ha/atom

Lattice parameters (Å, degrees): 5.3317 5.3317 5.3317 139.93 139.93 57.96
Closest atoms and distances in Å follow each position.
Element x y z (fractional)
1 Cr 0.0000 0.0000 0.0000  4 W 2.58
2 Cr 0.2500 0.7500 0.5000  4 Zr 2.58
3 W 0.5000 0.5000 0.0000  4 Cr 2.58
4 Zr 0.7500 0.2500 0.5000  4 Cr 2.58

A relaxed structure of ZrCr2W. Source: Alexandria, functional PBE.

Properties
density of states at the Fermi level	1.01	states/eV/atom
energy of formation from the pure elements	0.79	eV/atom
relative energy among the computed polymorphs	64.03	kJ per mole of atoms
raw total energy	-0.3452	Ha/atom

Lattice parameters (Å, degrees): 6.9450 6.9450 5.6275 51.90 51.90 90.00
Closest atoms and distances in Å follow each position.
Element x y z (fractional)
1 Cr 0.6510 0.1250 0.2500  2 W 2.43, 2 Zr 2.68
2 Cr 0.0990 0.6250 0.2500  2 W 2.43, 2 Zr 2.68
3 Cr 0.3750 0.3490 0.7500  2 W 2.43, 2 Zr 2.68
4 Cr 0.8750 0.9010 0.7500  2 W 2.43, 2 Zr 2.68
5 Zr 0.5000 0.5000 0.0000  4 Cr 2.68, 2 W 2.75
6 Zr 0.2500 0.7500 0.5000  4 Cr 2.68, 2 W 2.75
7 W 0.0000 0.0000 0.0000  4 Cr 2.43
8 W 0.7500 0.2500 0.5000  4 Cr 2.43

A relaxed structure of ZrCrW2. Source: Alexandria, functional PBE.

Properties
density of states at the Fermi level	1.03	states/eV/atom
energy of formation from the pure elements	0.22	eV/atom
relative energy among the computed polymorphs	9.35	kJ per mole of atoms
raw total energy	-0.3970	Ha/atom

Lattice parameters (Å, degrees): 4.4704 2.8431 5.2357 79.44 90.00 90.00
Closest atoms and distances in Å follow each position.
Element x y z (fractional)
1 Cr 0.5000 0.7500 0.7500  4 W 2.71, 2 Zr 2.74, 2 Cr 2.84
2 W 0.0000 0.9859 0.9895  4 W 2.68-2.84, 2 Cr 2.71, 2 Zr 2.79
3 W 0.0000 0.5141 0.5105  4 W 2.68-2.84, 2 Cr 2.71, 2 Zr 2.79
4 Zr 0.5000 0.2500 0.2500  2 Cr 2.74, 4 W 2.79, 2 Zr 2.84

A relaxed structure of ZrCrW2. Source: Alexandria, functional PBE.

Properties
density of states at the Fermi level	1.02	states/eV/atom
energy of formation from the pure elements	0.22	eV/atom
relative energy among the computed polymorphs	9.16	kJ per mole of atoms
raw total energy	-0.3970	Ha/atom

Lattice parameters (Å, degrees): 4.4054 2.8228 5.3522 80.13 90.00 90.00
Closest atoms and distances in Å follow each position.
Element x y z (fractional)
1 Cr 0.5000 0.7522 0.7621  4 W 2.68-2.93, 2 Zr 2.74, 2 Cr 2.82
2 W 0.0000 0.9944 0.9971  2 Cr 2.68, 4 W 2.69-2.82, 2 Zr 2.77-2.84
3 W 0.5000 0.2463 0.2331  2 Cr 2.68-2.93, 4 W 2.69-2.82, 2 Zr 2.82
4 Zr 0.0000 0.5071 0.5077  2 Cr 2.74, 4 W 2.77-2.84, 2 Zr 2.82

A relaxed structure of ZrCrW. Source: Alexandria, functional PBE.

Properties
density of states at the Fermi level	1.01	states/eV/atom
energy of formation from the pure elements	0.43	eV/atom
relative energy among the computed polymorphs	49.41	kJ per mole of atoms
raw total energy	-0.3653	Ha/atom

Lattice parameters (Å, degrees): 3.0421 3.0421 6.4198 90.00 90.00 120.00
Closest atoms and distances in Å follow each position.
Element x y z (fractional)
1 Cr 0.0000 0.0000 0.0250  3 W 2.48
2 W 0.6667 0.3333 0.2976  3 Cr 2.48
3 Zr 0.3333 0.6667 0.6773  3 Cr 2.84, 3 W 3.00, 6 Zr 3.04

raw total energy of number 2 (ZnCr2W)?
-0.2951 Ha/atom